First-principles (SCAN) data for a PBEsol-optimized structure of TiCdSe2Br, as listed in Alexandria.

a = 4.908 Å, b = 4.908 Å, c = 5.048 Å
α = 90.00°, β = 90.00°, γ = 90.00°
Fractional positions:
Ti 0.000 0.000 0.000
Cd 0.500 0.500 0.500
Se 0.000 0.500 0.000
Se 0.500 0.000 0.000
Br 0.000 0.000 0.500

Raw formation energy   -542.7 meV/atom
Symmetry   No. 123